VASP calculation (PBE with a Hubbard U) on crystalline K3CrSe2O8 at its relaxed geometry.

a = 5.8493 Å, b = 5.8493 Å, c = 7.6712 Å
α = 90.00°, β = 90.00°, γ = 120.00°
Space group P-3m1 (No. 164)
Unique sites:
K  0.0000  0.0000  0.0000 [1 per cell]
K  0.3333  0.6667  0.7589 [2 per cell]
Cr  0.0000  0.0000  0.5000 [1 per cell]
Se  0.3333  0.6667  0.3092 [2 per cell]
O  0.1522  0.3045  0.3304 [6 per cell]
O  0.3333  0.6667  0.0907 [2 per cell]

E_tot (eV per atom): -5.316